20
Lattice="5.735 0.000 -0.022 0.000 5.729 0.000 0.020 0.000 8.068" Properties=species:S:1:pos:R:3 comment="GGA+U ZnMoPb2O6, optimized geometry" dos_ef_per_ev_cell=0.0 sg="P2_1/c (14)" final_energy_ev_per_atom=-5.91 pbc="T T T"
Zn 0.010 2.865 4.034
Zn 2.868 0.000 -0.011
O 2.521 5.663 5.948
O 4.069 1.534 4.294
O 4.400 4.521 4.277
O 1.192 1.330 0.270
O 1.523 4.073 0.253
O 1.686 4.195 3.753
O 5.378 2.931 1.903
O 1.355 1.208 3.770
O 0.377 2.798 6.144
O 4.564 4.399 7.776
O 3.234 0.067 2.099
O 4.233 1.657 7.793
Pb 5.723 0.138 6.025
Pb 2.845 2.726 2.002
Pb 2.910 3.003 6.045
Pb 0.032 5.591 2.022
Mo 0.000 2.865 0.000
Mo 2.878 0.000 4.023